Arrangement i

CuMoCl: relaxed, PBE.

a = 4.3105 Å, b = 4.3105 Å, c = 2.7956 Å
α = 90.00°, β = 90.00°, γ = 120.00°
Closest atoms and distances in Å follow each position.
Fractional positions:
Cu 0.0000 0.0000 0.0000  2 Cu 2.80, 6 Mo 2.85, 6 Cl 2.85
Mo 0.6667 0.3333 0.5000  3 Cl 2.49
Cl 0.3333 0.6667 0.5000  3 Mo 2.49

DOS at the Fermi energy   3.22 states/eV/f.u.
Total magnetic moment   0.0 μB per formula unit
Space group   No. 187

Arrangement ii

CuMoCl: relaxed, PBE.

a = 4.1572 Å, b = 4.1572 Å, c = 4.1572 Å
α = 60.00°, β = 60.00°, γ = 60.00°
Closest atoms and distances in Å follow each position.
Fractional positions:
Cu 0.0000 0.0000 0.0000  4 Mo 2.55
Mo 0.2500 0.2500 0.2500  4 Cl 2.55, 4 Cu 2.55
Cl 0.5000 0.5000 0.5000  4 Mo 2.55

DOS at the Fermi energy   1.12 states/eV/f.u.
Total magnetic moment   0.0 μB per formula unit
Space group   No. 216

Arrangement iii

CuMoCl: relaxed, PBE.

a = 4.0442 Å, b = 4.0442 Å, c = 4.0442 Å
α = 60.00°, β = 60.00°, γ = 60.00°
Closest atoms and distances in Å follow each position.
Fractional positions:
Cu 0.0000 0.0000 0.0000  4 Cl 2.48
Mo 0.5000 0.5000 0.5000  4 Cl 2.48
Cl 0.2500 0.2500 0.2500  4 Mo 2.48, 4 Cu 2.48

DOS at the Fermi energy   1.26 states/eV/f.u.
Total magnetic moment   0.0 μB per formula unit
Space group   No. 216

It is arrangement iii that is the least stable of them.

Arrangement i

CuMoCl: relaxed, PBE.

a = 2.9824 Å, b = 2.9824 Å, c = 6.4799 Å
α = 90.00°, β = 90.00°, γ = 120.00°
Closest atoms and distances in Å follow each position.
Fractional positions:
Cu 0.0000 0.0000 0.0000  3 Mo 2.63
Mo 0.6667 0.3333 0.3078  3 Cl 2.48, 3 Cu 2.63
Cl 0.3333 0.6667 0.5827  3 Mo 2.48

DOS at the Fermi energy   3.42 states/eV/f.u.
Total magnetic moment   0.0 μB per formula unit
Space group   No. 156

Arrangement ii

CuMoCl: relaxed, PBE.

a = 7.0722 Å, b = 6.8367 Å, c = 2.8762 Å
α = 82.70°, β = 73.51°, γ = 23.79°
Closest atoms and distances in Å follow each position.
Fractional positions:
Cu 0.0000 0.0000 0.0000  2 Mo 2.55
Mo 0.6503 0.6503 0.3497  2 Cl 2.50, 2 Cu 2.55
Cl 0.2958 0.2958 0.7042  2 Mo 2.50

DOS at the Fermi energy   0.63 states/eV/f.u.
Total magnetic moment   0.0 μB per formula unit
Space group   No. 42

It is arrangement ii that is the least stable of them.

Arrangement i

Cu3MoCl: relaxed, PBE.

a = 4.7829 Å, b = 4.7829 Å, c = 4.7829 Å
α = 90.00°, β = 90.00°, γ = 90.00°
Closest atoms and distances in Å follow each position.
Fractional positions:
Cu 0.0000 0.0000 0.5000  2 Mo 2.39
Cu 0.0000 0.5000 0.0000  2 Mo 2.39
Cu 0.5000 0.0000 0.0000  2 Mo 2.39
Mo 0.0000 0.0000 0.0000  6 Cu 2.39
Cl 0.5000 0.5000 0.5000  12 Cu 3.38

DOS at the Fermi energy   3.06 states/eV/f.u.
Total magnetic moment   0.0 μB per formula unit
Space group   No. 221

Arrangement ii

Cu3MoCl: relaxed, PBE.

a = 4.3133 Å, b = 4.3133 Å, c = 4.3133 Å
α = 90.00°, β = 90.00°, γ = 90.00°
Closest atoms and distances in Å follow each position.
Fractional positions:
Cu 0.0000 0.0000 0.5000  2 Cl 2.16
Cu 0.0000 0.5000 0.0000  2 Cl 2.16
Cu 0.5000 0.0000 0.0000  2 Cl 2.16
Mo 0.5000 0.5000 0.5000  12 Cu 3.05
Cl 0.0000 0.0000 0.0000  6 Cu 2.16

DOS at the Fermi energy   4.71 states/eV/f.u.
Total magnetic moment   0.0 μB per formula unit
Space group   No. 221

It is arrangement i that is the least stable of them.

Arrangement i

CuMo3Cl: relaxed, PBE.

a = 4.6051 Å, b = 4.6051 Å, c = 4.6051 Å
α = 90.00°, β = 90.00°, γ = 90.00°
Closest atoms and distances in Å follow each position.
Fractional positions:
Cu 0.0000 0.0000 0.0000  6 Mo 2.30
Mo 0.0000 0.0000 0.5000  2 Cu 2.30
Mo 0.0000 0.5000 0.0000  2 Cu 2.30
Mo 0.5000 0.0000 0.0000  2 Cu 2.30
Cl 0.5000 0.5000 0.5000  12 Mo 3.26

DOS at the Fermi energy   8.49 states/eV/f.u.
Total magnetic moment   0.0 μB per formula unit
Space group   No. 221

Arrangement ii

CuMo3Cl: relaxed, PBE.

a = 4.3788 Å, b = 4.3788 Å, c = 4.3788 Å
α = 90.00°, β = 90.00°, γ = 90.00°
Closest atoms and distances in Å follow each position.
Fractional positions:
Cu 0.0000 0.0000 0.0000  12 Mo 3.10
Mo 0.0000 0.5000 0.5000  2 Cl 2.19
Mo 0.5000 0.0000 0.5000  2 Cl 2.19
Mo 0.5000 0.5000 0.0000  2 Cl 2.19
Cl 0.5000 0.5000 0.5000  6 Mo 2.19

DOS at the Fermi energy   2.77 states/eV/f.u.
Total magnetic moment   0.0 μB per formula unit
Space group   No. 221

It is arrangement i that is the least stable of them.

Arrangement i

Rb2CuMoCl6: relaxed, PBE.

a = 7.1158 Å, b = 7.1158 Å, c = 7.1158 Å
α = 60.00°, β = 60.00°, γ = 60.00°
Closest atoms and distances in Å follow each position.
Fractional positions:
Rb 0.2500 0.2500 0.2500  12 Cl 3.56
Rb 0.7500 0.7500 0.7500  12 Cl 3.56
Cu 0.0000 0.0000 0.0000  6 Cl 2.55
Mo 0.5000 0.5000 0.5000  6 Cl 2.48
Cl 0.2535 0.2535 0.7465  1 Mo 2.48, 1 Cu 2.55
Cl 0.2535 0.7465 0.2535  1 Mo 2.48, 1 Cu 2.55
Cl 0.2535 0.7465 0.7465  1 Mo 2.48, 1 Cu 2.55
Cl 0.7465 0.2535 0.2535  1 Mo 2.48, 1 Cu 2.55
Cl 0.7465 0.2535 0.7465  1 Mo 2.48, 1 Cu 2.55
Cl 0.7465 0.7465 0.2535  1 Mo 2.48, 1 Cu 2.55

Total magnetic moment   2.9 μB per formula unit
Space group   No. 225

Arrangement ii

Rb2CuMoCl6: relaxed, PBE.

a = 12.5185 Å, b = 12.5185 Å, c = 12.5185 Å
α = 33.35°, β = 33.35°, γ = 33.35°
Closest atoms and distances in Å follow each position.
Fractional positions:
Rb 0.1226 0.1226 0.1226  12 Cl 3.55-3.69
Rb 0.2947 0.2947 0.2947  12 Cl 3.52-3.77
Rb 0.7053 0.7053 0.7053  12 Cl 3.52-3.77
Rb 0.8774 0.8774 0.8774  12 Cl 3.55-3.69
Cu 0.4165 0.4165 0.4165  6 Cl 2.51-2.60
Cu 0.5835 0.5835 0.5835  6 Cl 2.51-2.60
Mo 0.0000 0.0000 0.0000  6 Cl 2.49
Mo 0.5000 0.5000 0.5000  6 Cl 2.46
Cl 0.1378 0.6202 0.6202  1 Mo 2.46, 1 Cu 2.51
Cl 0.2039 0.2039 0.7141  1 Mo 2.49, 1 Cu 2.60
Cl 0.2039 0.7141 0.2039  1 Mo 2.49, 1 Cu 2.60
Cl 0.2859 0.7961 0.7961  1 Mo 2.49, 1 Cu 2.60
Cl 0.3798 0.3798 0.8622  1 Mo 2.46, 1 Cu 2.51
Cl 0.3798 0.8622 0.3798  1 Mo 2.46, 1 Cu 2.51
Cl 0.6202 0.1378 0.6202  1 Mo 2.46, 1 Cu 2.51
Cl 0.6202 0.6202 0.1378  1 Mo 2.46, 1 Cu 2.51
Cl 0.7141 0.2039 0.2039  1 Mo 2.49, 1 Cu 2.60
Cl 0.7961 0.2859 0.7961  1 Mo 2.49, 1 Cu 2.60
Cl 0.7961 0.7961 0.2859  1 Mo 2.49, 1 Cu 2.60
Cl 0.8622 0.3798 0.3798  1 Mo 2.46, 1 Cu 2.51

Total magnetic moment   2.9 μB per formula unit
Space group   No. 166

Arrangement iii

Rb2CuMoCl6: relaxed, PBE.

a = 7.0838 Å, b = 7.0838 Å, c = 7.0838 Å
α = 114.33°, β = 114.33°, γ = 100.14°
Closest atoms and distances in Å follow each position.
Fractional positions:
Rb 0.2500 0.7500 0.5000  12 Cl 3.55-3.84
Rb 0.7500 0.2500 0.5000  12 Cl 3.55-3.84
Cu 0.0000 0.0000 0.0000  2 Cl 2.13
Mo 0.5000 0.5000 0.0000  6 Cl 2.42-2.47
Cl 0.2338 0.2338 0.0000  1 Cu 2.13
Cl 0.2726 0.2726 0.5453  1 Mo 2.47
Cl 0.2726 0.7274 0.0000  1 Mo 2.47
Cl 0.7274 0.2726 0.0000  1 Mo 2.47
Cl 0.7274 0.7274 0.4547  1 Mo 2.47
Cl 0.7662 0.7662 0.0000  1 Cu 2.13

DOS at the Fermi energy   0.00 states/eV/f.u.
Total magnetic moment   3.0 μB per formula unit
Space group   No. 139

It is arrangement iii that is the least stable of them.

Arrangement i

CuMoSe2Cl: relaxed, PBE.

a = 4.7977 Å, b = 4.7977 Å, c = 5.1190 Å
α = 90.00°, β = 90.00°, γ = 90.00°
Closest atoms and distances in Å follow each position.
Fractional positions:
Cu 0.0000 0.0000 0.0000  2 Mo 2.56
Mo 0.0000 0.0000 0.5000  4 Se 2.40, 2 Cu 2.56
Se 0.0000 0.5000 0.5000  2 Mo 2.40
Se 0.5000 0.0000 0.5000  2 Mo 2.40
Cl 0.5000 0.5000 0.0000  4 Cu 3.39, 8 Se 3.51

DOS at the Fermi energy   5.06 states/eV/f.u.
Total magnetic moment   0.0 μB per formula unit
Space group   No. 123

Arrangement ii

CuMoSe2Cl: relaxed, PBE.

a = 5.2718 Å, b = 5.2718 Å, c = 4.1357 Å
α = 90.00°, β = 90.00°, γ = 90.00°
Closest atoms and distances in Å follow each position.
Fractional positions:
Cu 0.0000 0.0000 0.0000  2 Cl 2.07
Mo 0.5000 0.5000 0.0000  8 Se 3.35, 4 Cu 3.73
Se 0.0000 0.5000 0.5000  2 Cl 2.64
Se 0.5000 0.0000 0.5000  2 Cl 2.64
Cl 0.0000 0.0000 0.5000  2 Cu 2.07

DOS at the Fermi energy   2.36 states/eV/f.u.
Total magnetic moment   3.9 μB per formula unit
Space group   No. 123

It is arrangement ii that is the least stable of them.

Arrangement i

Cu2NCl: relaxed, PBE.

a = 5.9075 Å, b = 5.9075 Å, c = 5.9075 Å
α = 129.50°, β = 129.50°, γ = 74.21°
Closest atoms and distances in Å follow each position.
Fractional positions:
Cu 0.0180 0.6250 0.8930  2 N 1.87
Cu 0.3750 0.2680 0.3930  2 N 1.87
Cu 0.7320 0.1250 0.1070  2 N 1.87
Cu 0.8750 0.9820 0.6070  2 N 1.87
N 0.0000 0.0000 0.0000  4 Cu 1.87
N 0.7500 0.2500 0.5000  4 Cu 1.87
Cl 0.2500 0.7500 0.5000  4 Cu 2.49
Cl 0.5000 0.5000 0.0000  4 Cu 2.49

DOS at the Fermi energy   1.41 states/eV/f.u.
Total magnetic moment   0.0 μB per formula unit
Space group   No. 122

Arrangement ii

Cu2NCl: relaxed, PBE.

a = 4.1243 Å, b = 4.1243 Å, c = 4.1243 Å
α = 60.00°, β = 60.00°, γ = 60.00°
Closest atoms and distances in Å follow each position.
Fractional positions:
Cu 0.2500 0.2500 0.2500  4 Cl 2.53, 4 N 2.53
Cu 0.7500 0.7500 0.7500  4 Cl 2.53, 4 N 2.53
N 0.0000 0.0000 0.0000  8 Cu 2.53
Cl 0.5000 0.5000 0.5000  8 Cu 2.53

DOS at the Fermi energy   1.40 states/eV/f.u.
Total magnetic moment   2.0 μB per formula unit
Space group   No. 225

It is arrangement ii that is the least stable of them.

Arrangement i

Cu2PNCl: relaxed, PBE.

a = 4.1909 Å, b = 4.1909 Å, c = 5.2005 Å
α = 90.00°, β = 90.00°, γ = 90.00°
Closest atoms and distances in Å follow each position.
Fractional positions:
Cu 0.0000 0.5000 0.0000  2 Cl 2.10
Cu 0.5000 0.0000 0.0000  2 Cl 2.10
P 0.0000 0.0000 0.5000  2 Cl 2.60
N 0.5000 0.5000 0.5000  4 P 2.96
Cl 0.0000 0.0000 0.0000  4 Cu 2.10

DOS at the Fermi energy   2.77 states/eV/f.u.
Total magnetic moment   0.1 μB per formula unit
Space group   No. 123

Arrangement ii

Cu2PNCl: relaxed, PBE.

a = 4.6176 Å, b = 4.6176 Å, c = 3.4298 Å
α = 90.00°, β = 90.00°, γ = 90.00°
Closest atoms and distances in Å follow each position.
Fractional positions:
Cu 0.0000 0.5000 0.0000  2 P 2.31
Cu 0.5000 0.0000 0.0000  2 P 2.31
P 0.0000 0.0000 0.0000  2 N 1.71
N 0.0000 0.0000 0.5000  2 P 1.71
Cl 0.5000 0.5000 0.5000  8 Cu 2.88

DOS at the Fermi energy   1.94 states/eV/f.u.
Total magnetic moment   0.0 μB per formula unit
Space group   No. 123

It is arrangement i that is the least stable of them.

Arrangement i

CuSN2Cl: relaxed, PBE.

a = 3.7261 Å, b = 3.7261 Å, c = 5.8031 Å
α = 90.00°, β = 90.00°, γ = 90.00°
Closest atoms and distances in Å follow each position.
Fractional positions:
Cu 0.0000 0.0000 0.0000  4 N 1.86
S 0.0000 0.0000 0.5000  4 Cl 2.63, 2 Cu 2.90
N 0.0000 0.5000 0.0000  2 Cu 1.86
N 0.5000 0.0000 0.0000  2 Cu 1.86
Cl 0.5000 0.5000 0.5000  4 S 2.63

DOS at the Fermi energy   2.46 states/eV/f.u.
Total magnetic moment   4.1 μB per formula unit
Space group   No. 123

Arrangement ii

CuSN2Cl: relaxed, PBE.

a = 3.4684 Å, b = 3.4684 Å, c = 7.3125 Å
α = 90.00°, β = 90.00°, γ = 90.00°
Closest atoms and distances in Å follow each position.
Fractional positions:
Cu 0.0000 0.0000 0.0000  4 S 2.45
S 0.5000 0.5000 0.0000  4 Cu 2.45
N 0.0000 0.5000 0.5000  2 Cl 1.73
N 0.5000 0.0000 0.5000  2 Cl 1.73
Cl 0.5000 0.5000 0.5000  4 N 1.73

DOS at the Fermi energy   4.51 states/eV/f.u.
Total magnetic moment   0.3 μB per formula unit
Space group   No. 123

It is arrangement ii that is the least stable of them.

Arrangement i

CuSeN2Cl: relaxed, PBE.

a = 3.5353 Å, b = 3.5353 Å, c = 7.5388 Å
α = 90.00°, β = 90.00°, γ = 90.00°
Closest atoms and distances in Å follow each position.
Fractional positions:
Cu 0.0000 0.0000 0.0000  4 Se 2.50
Se 0.5000 0.5000 0.0000  4 Cu 2.50
N 0.0000 0.5000 0.5000  2 Cl 1.77
N 0.5000 0.0000 0.5000  2 Cl 1.77
Cl 0.5000 0.5000 0.5000  4 N 1.77

DOS at the Fermi energy   3.89 states/eV/f.u.
Total magnetic moment   0.3 μB per formula unit
Space group   No. 123

Arrangement ii

CuSeN2Cl: relaxed, PBE.

a = 3.7819 Å, b = 3.7819 Å, c = 5.9942 Å
α = 90.00°, β = 90.00°, γ = 90.00°
Closest atoms and distances in Å follow each position.
Fractional positions:
Cu 0.0000 0.0000 0.0000  4 N 1.89
Se 0.0000 0.0000 0.5000  4 Cl 2.67
N 0.0000 0.5000 0.0000  2 Cu 1.89
N 0.5000 0.0000 0.0000  2 Cu 1.89
Cl 0.5000 0.5000 0.5000  4 Se 2.67

DOS at the Fermi energy   2.05 states/eV/f.u.
Total magnetic moment   4.1 μB per formula unit
Space group   No. 123

It is arrangement i that is the least stable of them.

Arrangement i

CuSe2NCl: relaxed, PBE.

a = 5.1247 Å, b = 5.1247 Å, c = 3.5325 Å
α = 90.00°, β = 90.00°, γ = 90.00°
Closest atoms and distances in Å follow each position.
Fractional positions:
Cu 0.0000 0.0000 0.0000  2 N 1.77
Se 0.0000 0.5000 0.0000  2 Cu 2.56
Se 0.5000 0.0000 0.0000  2 Cu 2.56
N 0.0000 0.0000 0.5000  2 Cu 1.77
Cl 0.5000 0.5000 0.5000  8 Se 3.11

DOS at the Fermi energy   5.03 states/eV/f.u.
Total magnetic moment   1.2 μB per formula unit
Space group   No. 123

Arrangement ii

CuSe2NCl: relaxed, PBE.

a = 5.2730 Å, b = 5.2730 Å, c = 3.3311 Å
α = 90.00°, β = 90.00°, γ = 90.00°
Closest atoms and distances in Å follow each position.
Fractional positions:
Cu 0.0000 0.0000 0.0000  8 Se 3.12, 2 Cu 3.33
Se 0.0000 0.5000 0.5000  2 Cl 2.64
Se 0.5000 0.0000 0.5000  2 Cl 2.64
N 0.5000 0.5000 0.0000  2 Cl 1.67
Cl 0.5000 0.5000 0.5000  2 N 1.67

DOS at the Fermi energy   4.78 states/eV/f.u.
Total magnetic moment   0.0 μB per formula unit
Space group   No. 123

It is arrangement ii that is the least stable of them.

Arrangement i

Sr2CuNCl: relaxed, PBE.

a = 5.5360 Å, b = 5.5360 Å, c = 4.1872 Å
α = 90.00°, β = 90.00°, γ = 90.00°
Closest atoms and distances in Å follow each position.
Fractional positions:
Sr 0.0000 0.5000 0.0000  2 Cl 2.77
Sr 0.5000 0.0000 0.0000  2 Cl 2.77
Cu 0.0000 0.0000 0.5000  8 Sr 3.47
N 0.5000 0.5000 0.5000  2 Cl 2.09
Cl 0.5000 0.5000 0.0000  2 N 2.09

DOS at the Fermi energy   2.40 states/eV/f.u.
Total magnetic moment   0.0 μB per formula unit
Space group   No. 123

Arrangement ii

Sr2CuNCl: relaxed, PBE.

a = 5.4000 Å, b = 5.4000 Å, c = 3.7592 Å
α = 90.00°, β = 90.00°, γ = 90.00°
Closest atoms and distances in Å follow each position.
Fractional positions:
Sr 0.0000 0.5000 0.0000  2 N 2.70
Sr 0.5000 0.0000 0.0000  2 N 2.70
Cu 0.0000 0.0000 0.5000  2 N 1.88
N 0.0000 0.0000 0.0000  2 Cu 1.88
Cl 0.5000 0.5000 0.5000  8 Sr 3.29

DOS at the Fermi energy   2.27 states/eV/f.u.
Total magnetic moment   0.0 μB per formula unit
Space group   No. 123

It is arrangement i that is the least stable of them.

Arrangement i

CuTe2NCl: relaxed, PBE.

a = 5.6923 Å, b = 5.6923 Å, c = 3.3825 Å
α = 90.00°, β = 90.00°, γ = 90.00°
Closest atoms and distances in Å follow each position.
Fractional positions:
Cu 0.0000 0.0000 0.0000  8 Te 3.31, 2 Cu 3.38
Te 0.0000 0.5000 0.5000  2 Cl 2.85
Te 0.5000 0.0000 0.5000  2 Cl 2.85
N 0.5000 0.5000 0.0000  2 Cl 1.69
Cl 0.5000 0.5000 0.5000  2 N 1.69

DOS at the Fermi energy   3.34 states/eV/f.u.
Total magnetic moment   0.0 μB per formula unit
Space group   No. 123

Arrangement ii

CuTe2NCl: relaxed, PBE.

a = 5.5494 Å, b = 5.5494 Å, c = 3.5085 Å
α = 90.00°, β = 90.00°, γ = 90.00°
Closest atoms and distances in Å follow each position.
Fractional positions:
Cu 0.0000 0.0000 0.0000  2 N 1.75
Te 0.0000 0.5000 0.0000  2 Cu 2.77
Te 0.5000 0.0000 0.0000  2 Cu 2.77
N 0.0000 0.0000 0.5000  2 Cu 1.75
Cl 0.5000 0.5000 0.5000  8 Te 3.28, 2 Cl 3.51

DOS at the Fermi energy   5.54 states/eV/f.u.
Total magnetic moment   1.5 μB per formula unit
Space group   No. 123

It is arrangement i that is the least stable of them.